Record 1
## HfZn2Co (PBE)

Data for a geometry-optimized HfZn2Co structure.

Results
Spin magnetization   0.000 μB/f.u.
D(E_F)   5.651 states/eV/cell
Calculated total energy   -38.304 eV for the cell shown
Calculated formation energy   0.46 eV/f.u.
SG   No. 122

Cell: 3.660 3.660 9.984 Å, 79.44 79.44 90.00°
Positions (direct):
Co (0.500, 0.500, 0.000)
Co (0.250, 0.750, 0.500)
Zn (0.602, 0.125, 0.250)
Zn (0.148, 0.625, 0.250)
Zn (0.375, 0.398, 0.750)
Zn (0.875, 0.852, 0.750)
Hf (0.000, 0.000, 0.000)
Hf (0.750, 0.250, 0.500)



Record 2
## TlAg2Sb (PBE)

Data for a geometry-optimized TlAg2Sb structure.

Results
Spin magnetization   0.000 μB/f.u.
D(E_F)   1.051 states/eV/cell
Calculated total energy   -11.705 eV for the cell shown
SG   No. 12

Cell: 4.921 4.921 6.093 Å, 79.52 79.52 40.70°
Positions (direct):
Sb (0.750, 0.750, 0.750)
Tl (0.250, 0.250, 0.250)
Ag (0.003, 0.003, 0.984)
Ag (0.497, 0.497, 0.516)



Record 3
## Sm4Ge2O (PBE)

Data for a geometry-optimized Sm4Ge2O structure.

Results
Distance to the lowest polymorph of the same formula   0.012 eV/atom
Spin magnetization   0.020 μB/f.u.
D(E_F)   7.287 states/eV/cell
Calculated total energy   -42.010 eV for the cell shown
SG   No. 139

Cell: 4.624 4.624 8.679 Å, 105.45 105.45 90.00°
Positions (direct):
Ge (0.637, 0.637, 0.273)
Ge (0.363, 0.363, 0.727)
O (0.000, 0.000, 0.000)
Sm (0.822, 0.822, 0.645)
Sm (0.178, 0.178, 0.355)
Sm (0.000, 0.500, 0.000)
Sm (0.500, 0.000, 0.000)



Record 4
## CdP3C (PBE)

Data for a geometry-optimized CdP3C structure.

Results
Distance to the lowest polymorph of the same formula   0.000 eV/atom
Spin magnetization   0.000 μB/f.u.
D(E_F)   3.317 states/eV/cell
Calculated total energy   -20.698 eV for the cell shown
Calculated formation energy   5.67 eV/f.u.
SG   No. 221

Cell: 4.203 4.203 4.203 Å, 90.00 90.00 90.00°
Positions (direct):
P (0.000, 0.500, 0.000)
P (0.000, 0.000, 0.500)
P (0.500, 0.000, 0.000)
C (0.000, 0.000, 0.000)
Cd (0.500, 0.500, 0.500)



Record 5
## La2TaNi (PBE)

Data for a geometry-optimized La2TaNi structure.

Results
Distance to the lowest polymorph of the same formula   0.382 eV/atom
Spin magnetization   0.000 μB/f.u.
D(E_F)   5.624 states/eV/cell
Calculated total energy   -25.684 eV for the cell shown
Calculated formation energy   1.80 eV/f.u.
SG   No. 12

Cell: 5.786 5.786 5.431 Å, 62.10 62.10 35.48°
Positions (direct):
La (0.029, 0.029, 0.971)
La (0.471, 0.471, 0.529)
Ni (0.750, 0.750, 0.750)
Ta (0.250, 0.250, 0.250)



Record 6
## Sr2MgGa2As4 (PBE)

Data for a geometry-optimized Sr2MgGa2As4 structure.

Results
Spin magnetization   0.000 μB/f.u.
D(E_F)   1.295 states/eV/cell
Calculated total energy   -35.885 eV for the cell shown
Calculated formation energy   -6.28 eV/f.u.
SG   No. 12

Cell: 4.151 7.252 8.053 Å, 109.05 104.93 90.00°
Positions (direct):
Sr (0.125, 0.551, 0.250)
Sr (0.875, 0.449, 0.750)
Mg (0.000, 0.000, 0.000)
Ga (0.668, 0.989, 0.335)
Ga (0.332, 0.011, 0.665)
As (0.213, 0.203, 0.426)
As (0.787, 0.797, 0.574)
As (0.512, 0.750, 0.023)
As (0.488, 0.250, 0.977)



Record 7
## Tc2Os (PBE)

Data for a geometry-optimized Tc2Os structure.

Results
Distance to the lowest polymorph of the same formula   0.444 eV/atom
Spin magnetization   0.000 μB/f.u.
D(E_F)   12.771 states/eV/cell
Calculated total energy   -123.286 eV for the cell shown
Calculated formation energy   1.14 eV/f.u.
SG   No. 194

Cell: 5.064 5.064 8.110 Å, 90.00 90.00 60.00°
Positions (direct):
Os (0.667, 0.667, 0.078)
Os (0.667, 0.667, 0.422)
Os (0.333, 0.333, 0.578)
Os (0.333, 0.333, 0.922)
Tc (0.000, 0.000, 0.000)
Tc (0.000, 0.000, 0.500)
Tc (0.824, 0.351, 0.750)
Tc (0.351, 0.824, 0.750)
Tc (0.176, 0.176, 0.250)
Tc (0.824, 0.824, 0.750)
Tc (0.649, 0.176, 0.250)
Tc (0.176, 0.649, 0.250)



Record 8
## PmSc4Ga5 (PBE)

Data for a geometry-optimized PmSc4Ga5 structure.

Results
Spin magnetization   0.000 μB/f.u.
D(E_F)   4.549 states/eV/cell
Calculated total energy   -51.067 eV for the cell shown
Calculated formation energy   -5.86 eV/f.u.
SG   No. 123

Cell: 3.426 3.426 17.028 Å, 90.00 90.00 90.00°
Positions (direct):
Pm (0.000, 0.000, 0.000)
Sc (0.000, 0.000, 0.213)
Sc (0.000, 0.000, 0.404)
Sc (0.000, 0.000, 0.596)
Sc (0.000, 0.000, 0.787)
Ga (0.500, 0.500, 0.119)
Ga (0.500, 0.500, 0.309)
Ga (0.500, 0.500, 0.500)
Ga (0.500, 0.500, 0.691)
Ga (0.500, 0.500, 0.881)



Among the records above, which one has the lowest D(E_F)?
TlAg2Sb



Which value of spin magnetization does entry 2 give?
0.000 μB/f.u.



Look up the D(E_F) of the eighth one.
4.549 states/eV/cell



The lowest calculated total energy belongs to which entry?
Tc2Os